DFT (PBE) results for an optimized crystal structure of HfGaFeHg.

The structure in extended XYZ format:
```
4
Lattice="4.460 0.890 0.816 1.186 3.450 2.836 1.822 -0.936 4.141" Properties=species:S:1:pos:R:3 pbc="T T T"
Fe 5.601 2.553 5.845
Ga 0.000 0.000 0.000
Hf 1.867 0.851 1.948
Hg 3.734 1.702 3.897
```

total energy	-5.302	eV/atom
relative energy among the computed polymorphs	0.0	meV per atom
density	12.01	g/cm3